Record 1
A geometry-optimized Tb3Y3Tm2 structure, computed with GGA-PBE.

Values from the calculation:
**Spin magnetization**: 0.0 μB per formula unit
**D(E_F)**: 16.1 states/eV/f.u.
**DFT total energy**: -5.19 eV/atom

a b c (Å): 16.143 5.669 5.969
angles (deg): 90.00 110.65 90.00
Space group C2/m (No. 12)
Symmetry-distinct sites (fractional):
Tb 0.000 0.000 0.000
Tb 0.133 0.000 0.692
Y 0.000 0.500 0.500
Y 0.133 0.500 0.079
Tm 0.249 0.000 0.317

---

Record 2
A geometry-optimized AcPr2Au structure, computed with GGA-PBE.

Values from the calculation:
**Spin magnetization**: 0.0 μB per formula unit
**D(E_F)**: 5.2 states/eV/f.u.
**DFT total energy**: -4.49 eV/atom

a b c (Å): 4.0445 4.0445 30.5509
angles (deg): 90.00 90.00 120.00
Space group R3m (No. 160, hexagonal axes)
Symmetry-distinct sites (fractional):
Ac 0.0000 0.0000 0.0000
Pr 0.0000 0.0000 0.5641
Pr 0.0000 0.0000 0.7682
Au 0.0000 0.0000 0.1655